MnBeBr5 | PBE-GGA | optimized geometry

Calculated values
density of states at the Fermi level	0.28	states/eV/atom
raw total energy	-3.6653	eV per atom

Cell lengths 7.295, 8.703, 14.541 Å; angles 90.00, 90.00, 90.00 degrees
Fractional coordinates of all 28 atoms:
Be: 0.750 0.521 0.647
Br: 0.250 0.720 0.394
Br: 0.250 0.007 0.697
Br: 0.516 0.374 0.378
Br: 0.250 0.493 0.197
Mn: 0.250 0.676 0.058
Be: 0.250 0.021 0.853
Br: 0.250 0.780 0.894
Br: 0.750 0.993 0.303
Br: 0.984 0.374 0.378
Br: 0.750 0.507 0.803
Be: 0.250 0.479 0.353
Br: 0.484 0.874 0.122
Mn: 0.750 0.324 0.942
Br: 0.750 0.280 0.606
Br: 0.750 0.220 0.106
Br: 0.000 0.000 0.500
Br: 0.016 0.626 0.622
Br: 0.984 0.126 0.878
Br: 0.500 0.500 0.000
Br: 0.000 0.500 0.000
Br: 0.500 0.000 0.500
Be: 0.750 0.979 0.147
Br: 0.516 0.126 0.878
Br: 0.016 0.874 0.122
Mn: 0.250 0.824 0.558
Mn: 0.750 0.176 0.442
Br: 0.484 0.626 0.622